# HoTmScTi (PBE, relaxed)
data_HoTmScTi
_chemical_formula_sum 'Ho4 Tm4 Sc4 Ti4'
_space_group_name_H-M_alt 'F -4 3 m'
_space_group_IT_number 216
_space_group_name_Hall 'F -4 2 3'
_cell_length_a 7.433
_cell_length_b 7.433
_cell_length_c 7.433
_cell_angle_alpha 90.00
_cell_angle_beta 90.00
_cell_angle_gamma 90.00
loop_
_atom_site_label
_atom_site_type_symbol
_atom_site_fract_x
_atom_site_fract_y
_atom_site_fract_z
_atom_site_occupancy
Ho1 Ho 0.000 0.000 0.000 1
Tm1 Tm 0.000 0.000 0.500 1
Sc1 Sc 0.250 0.250 0.750 1
Ti1 Ti 0.250 0.250 0.250 1
# - E: -5.608 eV/atom

# HoSc2Tl2 (PBE, relaxed)
data_HoSc2Tl2
_chemical_formula_sum 'Ho1 Sc2 Tl2'
_space_group_name_H-M_alt 'P -3 m 1'
_space_group_IT_number 164
_space_group_name_Hall '-P 3 2"'
_cell_length_a 5.0322
_cell_length_b 5.0322
_cell_length_c 6.3245
_cell_angle_alpha 90.00
_cell_angle_beta 90.00
_cell_angle_gamma 120.00
loop_
_atom_site_label
_atom_site_type_symbol
_atom_site_fract_x
_atom_site_fract_y
_atom_site_fract_z
_atom_site_occupancy
Ho1 Ho 0.0000 0.0000 0.0000 1
Sc1 Sc 0.3333 0.6667 0.6663 1
Tl1 Tl 0.3333 0.6667 0.2064 1
# - E: -4.486 eV/atom

# Ho11Sc9Tl4 (PBE, relaxed)
data_Ho11Sc9Tl4
_chemical_formula_sum 'Ho22 Sc18 Tl8'
_space_group_name_H-M_alt 'C m m m'
_space_group_IT_number 65
_space_group_name_Hall '-C 2 2'
_cell_length_a 15.534
_cell_length_b 23.254
_cell_length_c 3.674
_cell_angle_alpha 90.00
_cell_angle_beta 90.00
_cell_angle_gamma 90.00
loop_
_atom_site_label
_atom_site_type_symbol
_atom_site_fract_x
_atom_site_fract_y
_atom_site_fract_z
_atom_site_occupancy
Ho1 Ho 0.000 0.000 0.000 1
Ho2 Ho 0.000 0.159 0.000 1
Ho3 Ho 0.000 0.364 0.000 1
Ho4 Ho 0.216 0.500 0.000 1
Ho5 Ho 0.229 0.179 0.000 1
Sc1 Sc 0.000 0.500 0.500 1
Sc2 Sc 0.104 0.265 0.500 1
Sc3 Sc 0.137 0.074 0.500 1
Tl1 Tl 0.151 0.401 0.500 1
# - E: -4.944 eV/atom

# HoSc4Tl (PBE, relaxed)
data_HoSc4Tl
_chemical_formula_sum 'Ho2 Sc8 Tl2'
_space_group_name_H-M_alt 'C 1 2/m 1'
_space_group_IT_number 12
_cell_length_a 11.129
_cell_length_b 4.948
_cell_length_c 6.414
_cell_angle_alpha 90.00
_cell_angle_beta 120.73
_cell_angle_gamma 90.00
loop_
_space_group_symop_operation_xyz
'x,y,z'
'-x,-y,-z'
'-x,y,-z'
'x,-y,z'
'x+1/2,y+1/2,z'
'-x+1/2,-y+1/2,-z'
'-x+1/2,y+1/2,-z'
'x+1/2,-y+1/2,z'
loop_
_atom_site_label
_atom_site_type_symbol
_atom_site_fract_x
_atom_site_fract_y
_atom_site_fract_z
_atom_site_occupancy
Ho1 Ho 0.000 0.000 0.000 1
Sc1 Sc 0.153 0.500 0.809 1
Sc2 Sc 0.196 0.500 0.337 1
Tl1 Tl 0.000 0.000 0.500 1
# - E: -5.462 eV/atom

# Ho4ScTl (PBE, relaxed)
data_Ho4ScTl
_chemical_formula_sum 'Ho16 Sc4 Tl4'
_space_group_name_H-M_alt 'C 1 2/c 1'
_space_group_IT_number 15
_cell_length_a 8.558
_cell_length_b 13.783
_cell_length_c 6.347
_cell_angle_alpha 90.00
_cell_angle_beta 108.37
_cell_angle_gamma 90.00
loop_
_space_group_symop_operation_xyz
'x,y,z'
'-x,-y,-z'
'-x,y,-z+1/2'
'x,-y,z+1/2'
'x+1/2,y+1/2,z'
'-x+1/2,-y+1/2,-z'
'-x+1/2,y+1/2,-z+1/2'
'x+1/2,-y+1/2,z+1/2'
loop_
_atom_site_label
_atom_site_type_symbol
_atom_site_fract_x
_atom_site_fract_y
_atom_site_fract_z
_atom_site_occupancy
Ho1 Ho 0.096 0.192 0.040 1
Ho2 Ho 0.209 0.379 0.384 1
Sc1 Sc 0.000 0.407 0.750 1
Tl1 Tl 0.000 0.000 0.250 1
# - E: -4.482 eV/atom

# HoSc3Tl (PBE, relaxed)
data_HoSc3Tl
_chemical_formula_sum 'Ho8 Sc24 Tl8'
_space_group_name_H-M_alt 'C 1 2/c 1'
_space_group_IT_number 15
_cell_length_a 13.872
_cell_length_b 12.316
_cell_length_c 6.208
_cell_angle_alpha 90.00
_cell_angle_beta 104.55
_cell_angle_gamma 90.00
loop_
_space_group_symop_operation_xyz
'x,y,z'
'-x,-y,-z'
'-x,y,-z+1/2'
'x,-y,z+1/2'
'x+1/2,y+1/2,z'
'-x+1/2,-y+1/2,-z'
'-x+1/2,y+1/2,-z+1/2'
'x+1/2,-y+1/2,z+1/2'
loop_
_atom_site_label
_atom_site_type_symbol
_atom_site_fract_x
_atom_site_fract_y
_atom_site_fract_z
_atom_site_occupancy
Ho1 Ho 0.105 0.071 0.461 1
Sc1 Sc 0.104 0.192 0.962 1
Sc2 Sc 0.193 0.315 0.643 1
Sc3 Sc 0.199 0.424 0.144 1
Tl1 Tl 0.000 0.319 0.250 1
Tl2 Tl 0.000 0.419 0.750 1
# - E: -5.215 eV/atom

# HoSc6Tl3 (PBE, relaxed)
data_HoSc6Tl3
_chemical_formula_sum 'Ho4 Sc24 Tl12'
_space_group_name_H-M_alt 'C m c 21'
_space_group_IT_number 36
_cell_length_a 10.785
_cell_length_b 12.037
_cell_length_c 8.030
_cell_angle_alpha 90.00
_cell_angle_beta 90.00
_cell_angle_gamma 90.00
loop_
_space_group_symop_operation_xyz
'x,y,z'
'-x,-y,z+1/2'
'-x,y,z'
'x,-y,z+1/2'
'x+1/2,y+1/2,z'
'-x+1/2,-y+1/2,z+1/2'
'-x+1/2,y+1/2,z'
'x+1/2,-y+1/2,z+1/2'
loop_
_atom_site_label
_atom_site_type_symbol
_atom_site_fract_x
_atom_site_fract_y
_atom_site_fract_z
_atom_site_occupancy
Ho1 Ho 0.000 0.185 0.000 1
Sc1 Sc 0.000 0.271 0.590 1
Sc2 Sc 0.000 0.465 0.193 1
Sc3 Sc 0.165 0.068 0.668 1
Sc4 Sc 0.241 0.320 0.815 1
Tl1 Tl 0.000 0.083 0.360 1
Tl2 Tl 0.192 0.414 0.466 1
# - E: -5.062 eV/atom

# HoSc3Tl (PBE, relaxed)
data_HoSc3Tl
_chemical_formula_sum 'Ho2 Sc6 Tl2'
_space_group_name_H-M_alt 'P m m n'
_space_group_IT_number 59
_cell_length_a 5.099
_cell_length_b 7.756
_cell_length_c 6.601
_cell_angle_alpha 90.00
_cell_angle_beta 90.00
_cell_angle_gamma 90.00
loop_
_space_group_symop_operation_xyz
'x,y,z'
'-x,-y,-z'
'-x+1/2,-y+1/2,z'
'x+1/2,y+1/2,-z'
'x+1/2,-y,-z'
'-x+1/2,y,z'
'-x,y+1/2,-z'
'x,-y+1/2,z'
loop_
_atom_site_label
_atom_site_type_symbol
_atom_site_fract_x
_atom_site_fract_y
_atom_site_fract_z
_atom_site_occupancy
Ho1 Ho 0.250 0.250 0.208 1
Sc1 Sc 0.250 0.059 0.740 1
Sc2 Sc 0.250 0.750 0.063 1
Tl1 Tl 0.250 0.750 0.483 1
# - E: -5.256 eV/atom